GdLuGa2, relaxed, DFT PBE; density = 8.7 g cm⁻³; formation enthalpy at 0 K = -577 meV/atom; total energy = -26.965 eV per cell; distance to the lowest polymorph of the same formula = 0 meV/atom
1.0
3.5408 0.0000 0.0000
0.0000 3.5408 0.0000
0.0000 0.0000 7.1715
Gd Lu Ga
1 1 2
direct
0.5000 0.5000 0.5000
0.5000 0.5000 0.0000
0.0000 0.0000 0.7635
0.0000 0.0000 0.2365